Entry 1:
First-principles (PBE) data for crystalline Nd14ErTm at its relaxed geometry, as listed in the Alexandria database.

Computed properties:
energy relative to the elements: 14 meV/atom
volume: 34.58 Å³/atom
VASP energy: -4.72 eV/atom
calculated density: 7.070 g/cm3

Cell: 7.3154 7.3154 10.3382 Å, 90.00 90.00 90.00°
With the nearest neighbours (Å) after each atom.
Sites, in units of the cell vectors:
Nd (0.0000, 0.0000, 0.0000)  12 Nd 3.66-3.68
Nd (0.0000, 0.5000, 0.0000)  12 Nd 3.66-3.68
Nd (0.0000, 0.5000, 0.5000)  8 Nd 3.64, 2 Tm 3.66, 2 Er 3.66
Nd (0.2502, 0.2502, 0.2528)  1 Tm 3.63, 10 Nd 3.64-3.68, 1 Er 3.64
Nd (0.2502, 0.2502, 0.7472)  1 Tm 3.63, 10 Nd 3.64-3.68, 1 Er 3.64
Nd (0.2502, 0.7498, 0.2528)  1 Tm 3.63, 10 Nd 3.64-3.68, 1 Er 3.64
Nd (0.2502, 0.7498, 0.7472)  1 Tm 3.63, 10 Nd 3.64-3.68, 1 Er 3.64
Nd (0.5000, 0.0000, 0.0000)  12 Nd 3.66-3.68
Nd (0.5000, 0.0000, 0.5000)  8 Nd 3.64, 2 Tm 3.66, 2 Er 3.66
Nd (0.5000, 0.5000, 0.0000)  12 Nd 3.66-3.68
Nd (0.7498, 0.2502, 0.2528)  1 Tm 3.63, 10 Nd 3.64-3.68, 1 Er 3.64
Nd (0.7498, 0.2502, 0.7472)  1 Tm 3.63, 10 Nd 3.64-3.68, 1 Er 3.64
Nd (0.7498, 0.7498, 0.2528)  1 Tm 3.63, 10 Nd 3.64-3.68, 1 Er 3.64
Nd (0.7498, 0.7498, 0.7472)  1 Tm 3.63, 10 Nd 3.64-3.68, 1 Er 3.64
Er (0.0000, 0.0000, 0.5000)  12 Nd 3.64-3.66
Tm (0.5000, 0.5000, 0.5000)  12 Nd 3.63-3.66

---

Entry 2:
First-principles (PBE) data for crystalline Li6Tl2Bi3 at its relaxed geometry, as listed in the Alexandria database.

Computed properties:
energy relative to the elements: -252 meV/atom
volume: 23.81 Å³/atom
VASP energy: -2.78 eV/atom
calculated density: 6.830 g/cm3

Cell: 15.2260 15.2260 15.2260 Å, 164.19 164.19 22.43°
With the nearest neighbours (Å) after each atom.
Sites, in units of the cell vectors:
Li (0.1229, 0.6229, 0.5000)  2 Bi 2.85, 2 Tl 2.95, 4 Li 2.96
Li (0.2144, 0.2144, 0.0000)  5 Bi 2.93-3.07
Li (0.3771, 0.8771, 0.5000)  2 Bi 2.85, 2 Tl 2.95, 4 Li 2.96
Li (0.6229, 0.1229, 0.5000)  2 Bi 2.85, 2 Tl 2.95, 4 Li 2.96
Li (0.7856, 0.7856, 0.0000)  5 Bi 2.93-3.07
Li (0.8771, 0.3771, 0.5000)  2 Bi 2.85, 2 Tl 2.95, 4 Li 2.96
Tl (0.0531, 0.0531, 0.0000)  4 Li 2.95, 1 Tl 3.18
Tl (0.9469, 0.9469, 0.0000)  4 Li 2.95, 1 Tl 3.18
Bi (0.3124, 0.3124, 0.0000)  9 Li 2.85-3.07
Bi (0.5000, 0.5000, 0.0000)  8 Tl 3.36
Bi (0.6876, 0.6876, 0.0000)  9 Li 2.85-3.07

---

Entry 3:
First-principles (PBE) data for crystalline RbAc2Pr3Te6 at its relaxed geometry, as listed in the Alexandria database.

Computed properties:
volume: 36.25 Å³/atom
VASP energy: -4.96 eV/atom
calculated density: 6.595 g/cm3

Cell: 10.5073 10.5073 9.5169 Å, 104.17 104.17 25.32°
With the nearest neighbours (Å) after each atom.
Sites, in units of the cell vectors:
Rb (0.0000, 0.0000, 0.0000)  6 Te 3.43-3.47
Ac (0.3322, 0.3322, 0.6635)  6 Te 3.33-3.41
Ac (0.6678, 0.6678, 0.3365)  6 Te 3.33-3.41
Pr (0.0000, 0.0000, 0.5000)  6 Te 3.20-3.24
Pr (0.3382, 0.3382, 0.1799)  6 Te 3.20-3.32
Pr (0.6618, 0.6618, 0.8201)  6 Te 3.20-3.32
Te (0.1632, 0.1632, 0.5870)  3 Pr 3.20-3.24, 3 Ac 3.33-3.36
Te (0.1746, 0.1746, 0.0763)  3 Pr 3.25-3.32, 2 Ac 3.41, 1 Rb 3.47
Te (0.5000, 0.5000, 0.2671)  3 Pr 3.20-3.21, 1 Ac 3.34, 2 Rb 3.43
Te (0.5000, 0.5000, 0.7329)  3 Pr 3.20-3.21, 1 Ac 3.34, 2 Rb 3.43
Te (0.8254, 0.8254, 0.9237)  3 Pr 3.25-3.32, 2 Ac 3.41, 1 Rb 3.47
Te (0.8368, 0.8368, 0.4130)  3 Pr 3.20-3.24, 3 Ac 3.33-3.36

---

Entry 4:
First-principles (PBE) data for crystalline PdSeF6 at its relaxed geometry, as listed in the Alexandria database.

Computed properties:
volume: 14.78 Å³/atom
VASP energy: -3.91 eV/atom
calculated density: 4.205 g/cm3

Cell: 5.7292 5.7292 5.7292 Å, 55.22 55.22 55.22°
With the nearest neighbours (Å) after each atom.
Sites, in units of the cell vectors:
Pd (0.0000, 0.0000, 0.0000)  6 F 2.20
Se (0.5000, 0.5000, 0.5000)  6 F 1.96
F (0.1319, 0.7325, 0.4013)  1 Se 1.96
F (0.2675, 0.5987, 0.8681)  1 Se 1.96
F (0.4013, 0.1319, 0.7325)  1 Se 1.96
F (0.5987, 0.8681, 0.2675)  1 Se 1.96
F (0.7325, 0.4013, 0.1319)  1 Se 1.96
F (0.8681, 0.2675, 0.5987)  1 Se 1.96

---

Entry 5:
First-principles (PBE) data for crystalline NpCdIr2 at its relaxed geometry, as listed in the Alexandria database.

Computed properties:
energy relative to the elements: -122 meV/atom
volume: 18.31 Å³/atom
VASP energy: -8.02 eV/atom
polymorph energy (0 for the lowest one): 0 meV per atom
calculated density: 16.641 g/cm3

Cell: 4.3974 4.3974 3.7869 Å, 90.00 90.00 90.00°
With the nearest neighbours (Å) after each atom.
Sites, in units of the cell vectors:
Np (0.0000, 0.0000, 0.0000)  8 Ir 2.90, 4 Cd 3.11
Cd (0.5000, 0.5000, 0.0000)  8 Ir 2.90, 4 Np 3.11
Ir (0.0000, 0.5000, 0.5000)  4 Cd 2.90, 4 Np 2.90, 4 Ir 3.11
Ir (0.5000, 0.0000, 0.5000)  4 Cd 2.90, 4 Np 2.90, 4 Ir 3.11

---

Entry 6:
First-principles (PBE) data for crystalline ReH2Pt2 at its relaxed geometry, as listed in the Alexandria database.

Computed properties:
volume: 10.56 Å³/atom
VASP energy: -6.07 eV/atom
polymorph energy (0 for the lowest one): 0 meV per atom
calculated density: 18.198 g/cm3

Cell: 6.9120 6.9120 6.9120 Å, 156.42 156.42 33.59°
With the nearest neighbours (Å) after each atom.
Sites, in units of the cell vectors:
Re (0.0000, 0.0000, 0.0000)  8 Pt 2.78, 4 Re 2.82
H (0.2500, 0.7500, 0.5000)  4 Pt 1.97, 4 H 2.00
H (0.7500, 0.2500, 0.5000)  4 Pt 1.97, 4 H 2.00
Pt (0.3538, 0.3538, 0.0000)  4 H 1.97
Pt (0.6462, 0.6462, 0.0000)  4 H 1.97

---

Entry 7:
First-principles (PBE) data for crystalline Ac2Cu4S5 at its relaxed geometry, as listed in the Alexandria database.

Computed properties:
volume: 20.80 Å³/atom
VASP energy: -4.96 eV/atom
calculated density: 6.304 g/cm3

Cell: 16.9198 16.9198 16.9198 Å, 13.47 13.47 13.47°
With the nearest neighbours (Å) after each atom.
Sites, in units of the cell vectors:
Ac (0.1280, 0.1280, 0.1280)  6 S 2.99-3.00
Ac (0.8720, 0.8720, 0.8720)  6 S 2.99-3.00
Cu (0.3128, 0.3128, 0.3128)  4 S 2.34-2.53
Cu (0.4089, 0.4089, 0.4089)  4 S 2.30-2.40
Cu (0.5911, 0.5911, 0.5911)  4 S 2.30-2.40
Cu (0.6872, 0.6872, 0.6872)  4 S 2.34-2.53
S (0.2434, 0.2434, 0.2434)  3 Cu 2.40
S (0.3632, 0.3632, 0.3632)  5 Cu 2.30-2.53
S (0.5000, 0.5000, 0.5000)  6 Ac 3.00
S (0.6368, 0.6368, 0.6368)  5 Cu 2.30-2.53
S (0.7566, 0.7566, 0.7566)  3 Cu 2.40

---

Entry 8:
First-principles (PBE) data for crystalline ErMo4W at its relaxed geometry, as listed in the Alexandria database.

Computed properties:
energy relative to the elements: 200 meV/atom
volume: 17.93 Å³/atom
VASP energy: -9.94 eV/atom
calculated density: 11.346 g/cm3

Cell: 5.3380 5.3380 5.3380 Å, 60.00 60.00 60.00°
With the nearest neighbours (Å) after each atom.
Sites, in units of the cell vectors:
Er (0.0000, 0.0000, 0.0000)  12 Mo 3.13, 4 W 3.27
Mo (0.1260, 0.6247, 0.6247)  6 Mo 2.66-2.68
Mo (0.6247, 0.1260, 0.6247)  6 Mo 2.66-2.68
Mo (0.6247, 0.6247, 0.1260)  6 Mo 2.66-2.68
Mo (0.6247, 0.6247, 0.6247)  6 Mo 2.66-2.68
W (0.2500, 0.2500, 0.2500)  12 Mo 3.13, 4 Er 3.27

---

Entry 9:
First-principles (PBE) data for crystalline Zr6AsC3N2 at its relaxed geometry, as listed in the Alexandria database.

Computed properties:
volume: 14.13 Å³/atom
VASP energy: -9.39 eV/atom
calculated density: 6.719 g/cm3

Cell: 7.6707 7.6707 6.9033 Å, 103.59 103.59 25.48°
With the nearest neighbours (Å) after each atom.
Sites, in units of the cell vectors:
Zr (0.0026, 0.0026, 0.2206)  3 C 2.27-2.39
Zr (0.3212, 0.3212, 0.4103)  3 C 2.24-2.45, 2 N 2.43
Zr (0.3316, 0.3316, 0.9167)  3 N 2.32-2.40, 3 C 2.40-2.45
Zr (0.6684, 0.6684, 0.0833)  3 N 2.32-2.40, 3 C 2.40-2.45
Zr (0.6788, 0.6788, 0.5897)  3 C 2.24-2.45, 2 N 2.43
Zr (0.9974, 0.9974, 0.7794)  3 C 2.27-2.39
As (0.5000, 0.5000, 0.5000)  6 Zr 2.57-2.60
C (0.1667, 0.1667, 0.3288)  6 Zr 2.24-2.45
C (0.5000, 0.5000, 0.0000)  6 Zr 2.27-2.45
C (0.8333, 0.8333, 0.6712)  6 Zr 2.24-2.45
N (0.1722, 0.1722, 0.8387)  6 Zr 2.32-2.55
N (0.8278, 0.8278, 0.1613)  6 Zr 2.32-2.55

---

Entry 10:
First-principles (PBE) data for crystalline FeMoPt2 at its relaxed geometry, as listed in the Alexandria database.

Computed properties:
energy relative to the elements: -90 meV/atom
volume: 14.94 Å³/atom
VASP energy: -7.93 eV/atom
calculated density: 15.058 g/cm3

Cell: 9.2858 9.2858 9.2858 Å, 17.01 17.01 17.01°
With the nearest neighbours (Å) after each atom.
Sites, in units of the cell vectors:
Fe (0.0000, 0.0000, 0.0000)  3 Pt 2.65, 6 Fe 2.75, 3 Mo 2.77
Mo (0.2507, 0.2507, 0.2507)  6 Mo 2.75, 3 Pt 2.77, 3 Fe 2.77
Pt (0.5014, 0.5014, 0.5014)  9 Pt 2.75-2.95, 3 Mo 2.77
Pt (0.7441, 0.7441, 0.7441)  3 Fe 2.65, 9 Pt 2.75-2.95

---

Entry 11:
First-principles (PBE) data for crystalline ErGaF5 at its relaxed geometry, as listed in the Alexandria database.

Computed properties:
volume: 15.93 Å³/atom
VASP energy: -5.59 eV/atom
calculated density: 4.943 g/cm3

Cell: 5.7721 5.7721 7.5126 Å, 108.07 108.07 75.71°
With the nearest neighbours (Å) after each atom.
Sites, in units of the cell vectors:
Er (0.0507, 0.9493, 0.7500)  7 F 2.14-2.36
Er (0.9493, 0.0507, 0.2500)  7 F 2.14-2.36
Ga (0.5000, 0.5000, 0.0000)  4 F 2.07-2.08
Ga (0.5000, 0.5000, 0.5000)  4 F 2.07-2.08
F (0.1628, 0.8171, 0.0375)  2 Er 2.22-2.36, 1 Ga 2.34
F (0.1829, 0.8372, 0.4625)  2 Er 2.22-2.36, 1 Ga 2.34
F (0.2183, 0.2906, 0.3688)  1 Ga 2.08, 1 Er 2.14
F (0.2906, 0.2183, 0.8688)  1 Ga 2.08, 1 Er 2.14
F (0.3763, 0.6237, 0.7500)  2 Ga 2.07, 1 Er 2.31
F (0.6237, 0.3763, 0.2500)  2 Ga 2.07, 1 Er 2.31
F (0.7094, 0.7817, 0.1312)  1 Ga 2.08, 1 Er 2.14
F (0.7817, 0.7094, 0.6312)  1 Ga 2.08, 1 Er 2.14
F (0.8171, 0.1628, 0.5375)  2 Er 2.22-2.36, 1 Ga 2.34
F (0.8372, 0.1829, 0.9625)  2 Er 2.22-2.36, 1 Ga 2.34

---

Entry 12:
First-principles (PBE) data for crystalline Ca3NbBi at its relaxed geometry, as listed in the Alexandria database.

Computed properties:
energy relative to the elements: 602 meV/atom
volume: 41.98 Å³/atom
VASP energy: -3.39 eV/atom
calculated density: 3.339 g/cm3

Cell: 5.9430 5.9430 5.9430 Å, 90.00 90.00 90.00°
With the nearest neighbours (Å) after each atom.
Sites, in units of the cell vectors:
Ca (0.0000, 0.0000, 0.5000)  2 Bi 2.97
Ca (0.0000, 0.5000, 0.0000)  2 Bi 2.97
Ca (0.5000, 0.0000, 0.0000)  2 Bi 2.97
Nb (0.5000, 0.5000, 0.5000)  12 Ca 4.20
Bi (0.0000, 0.0000, 0.0000)  6 Ca 2.97

---

- Which of these has the highest VASP energy?
  Li6Tl2Bi3